1.
Below is Mg2GaNiH after structural relaxation, with properties calculated at the PBE level.

Results
- DFT total energy (eV per atom) = -3.224
- SG = No. 123

a = 4.533 Å, b = 4.533 Å, c = 3.300 Å
α = 90.00°, β = 90.00°, γ = 90.00°
Sites, in units of the cell vectors:
Mg: 0.000 0.500 0.000
Mg: 0.500 0.000 0.000
Ga: 0.000 0.000 0.500
Ni: 0.500 0.500 0.500
H: 0.500 0.500 0.000


2.
Below is Ga6Ag12Sn after structural relaxation, with properties calculated at the PBE level.

Results
- excess energy over the best structure of this formula in the dataset (eV per formula unit) = 1.77
- DFT total energy (eV per atom) = -2.864
- SG = No. 166
- formation energy (kcal/mol of atoms) = 2.38

a = 7.610 Å, b = 7.610 Å, c = 7.610 Å
α = 106.61°, β = 106.61°, γ = 106.61°
Sites, in units of the cell vectors:
Ga: 0.302 0.302 0.693
Ga: 0.302 0.693 0.302
Ga: 0.307 0.698 0.698
Ga: 0.693 0.302 0.302
Ga: 0.698 0.307 0.698
Ga: 0.698 0.698 0.307
Ag: 0.108 0.352 0.352
Ag: 0.116 0.500 0.884
Ag: 0.116 0.884 0.500
Ag: 0.352 0.108 0.352
Ag: 0.352 0.352 0.108
Ag: 0.500 0.116 0.884
Ag: 0.500 0.884 0.116
Ag: 0.648 0.648 0.892
Ag: 0.648 0.892 0.648
Ag: 0.884 0.116 0.500
Ag: 0.884 0.500 0.116
Ag: 0.892 0.648 0.648
Sn: 0.000 0.000 0.000


3.
Below is CsNaZrI6 after structural relaxation, with properties calculated at the PBE level.

Results
- formation energy without anion corrections (meV/atom) = -1130
- DFT total energy (eV per atom) = -3.355
- SG = No. 163

a = 8.080 Å, b = 8.080 Å, c = 16.707 Å
α = 90.00°, β = 90.00°, γ = 120.00°
Sites, in units of the cell vectors:
Cs: 0.000 0.000 0.000
Cs: 0.000 0.000 0.500
Na: 0.333 0.667 0.250
Na: 0.667 0.333 0.750
Zr: 0.333 0.667 0.750
Zr: 0.667 0.333 0.250
I: 0.032 0.388 0.649
I: 0.032 0.644 0.851
I: 0.356 0.388 0.851
I: 0.356 0.968 0.649
I: 0.388 0.032 0.149
I: 0.388 0.356 0.351
I: 0.612 0.644 0.649
I: 0.612 0.968 0.851
I: 0.644 0.032 0.351
I: 0.644 0.612 0.149
I: 0.968 0.356 0.149
I: 0.968 0.612 0.351


- Which formula does entry 3 have?
  CsNaZrI6


- What is the formula in the first record?
  Mg2GaNiH


- Which of these has the highest DFT total energy?
  Ga6Ag12Sn